Entry from the Alexandria database: an optimized crystal structure of Dy5TmTl6 (PBE-GGA).

Structure (extended XYZ):
```
12
Lattice="2.6960 -8.0920 0.0000 2.6960 8.0920 0.0000 0.0000 0.0000 7.4658" Properties=species:S:1:pos:R:3 pbc="T T T"
Dy 0.0000 0.0000 0.0000
Dy 2.6960 2.7138 0.0000
Dy 2.6960 2.6928 3.7329
Dy 2.6960 -2.6928 3.7329
Dy 2.6960 -2.7138 0.0000
Tm 0.0000 0.0000 3.7329
Tl 2.6960 5.4097 1.8779
Tl 2.6960 5.4097 5.5879
Tl 2.6960 0.0000 1.8736
Tl 2.6960 0.0000 5.5922
Tl 2.6960 -5.4097 1.8779
Tl 2.6960 -5.4097 5.5879
```

## Properties
Calculated density, g cm⁻³: 11.3
DFT formation energy, eV/atom: -0.332
Space-group type: Cmmm (65)